The following is a GGA-PBE calculation of crystalline Sm2GdErIn2 at its relaxed geometry, from OQMD.

symmetry: P-3m1 (164)
magnetization: 0.84 μB/cell
uncorrected energy: -26.22 eV per formula unit

Unit cell a=5.443 b=5.443 c=6.790 alpha=90.00 beta=90.00 gamma=120.00
Site moments in Bohr magnetons follow the coordinates.
Fractional coordinates of all 6 atoms:
Er (0.000, 0.000, 0.000)  0.11
Gd (0.000, 0.000, 0.500)  0.24
In (0.667, 0.333, 0.250)  0.00
In (0.333, 0.667, 0.750)  0.00
Sm (0.333, 0.667, 0.250)  0.09
Sm (0.667, 0.333, 0.750)  0.09

The following is a GGA-PBE calculation of crystalline CdSn2As at its relaxed geometry, from OQMD.

symmetry: F-43m (216)
uncorrected energy: -12.87 eV per formula unit

Unit cell a=5.176 b=5.176 c=5.176 alpha=60.00 beta=60.00 gamma=60.00
Fractional coordinates of all 4 atoms:
As (0.500, 0.500, 0.500)
Cd (0.250, 0.250, 0.250)
Sn (0.000, 0.000, 0.000)
Sn (0.750, 0.750, 0.750)

The following is a GGA-PBE calculation of crystalline BaZrCo at its relaxed geometry, from OQMD.

energy relative to the lowest polymorph listed for this composition: 0.828 eV/atom
symmetry: F-43m (216)
magnetization: 0.00 μB/cell

Unit cell a=4.695 b=4.695 c=4.695 alpha=60.00 beta=60.00 gamma=60.00
Fractional coordinates of all 3 atoms:
Ba (0.000, 0.000, 0.000)
Co (0.250, 0.250, 0.250)
Zr (0.750, 0.750, 0.750)

The following is a GGA-PBE calculation of crystalline CsTmMo at its relaxed geometry, from OQMD.

energy relative to the lowest polymorph listed for this composition: 0.000 eV/atom
symmetry: F-43m (216)
magnetization: 2.08 μB/cell

Unit cell a=5.187 b=5.187 c=5.187 alpha=60.00 beta=60.00 gamma=60.00
Fractional coordinates of all 3 atoms:
Cs (0.250, 0.250, 0.250)
Mo (0.000, 0.000, 0.000)
Tm (0.750, 0.750, 0.750)

The following is a GGA-PBE calculation of crystalline KLuCoSe3 at its relaxed geometry, from OQMD.

energy relative to the lowest polymorph listed for this composition: 0.000 eV/atom
symmetry: P2_1/m (11)
magnetization: 4.06 μB/cell

Unit cell a=9.073 b=3.956 c=9.460 alpha=90.00 beta=108.93 gamma=90.00
Site moments in Bohr magnetons follow the coordinates.
Fractional coordinates of all 12 atoms:
Co (0.575, 0.250, 0.090)  1.57
Co (0.425, 0.750, 0.910)  1.57
K (0.300, 0.750, 0.268)  0.00
K (0.700, 0.250, 0.732)  0.00
Lu (0.832, 0.750, 0.358)  0.02
Lu (0.168, 0.250, 0.642)  0.02
Se (0.693, 0.750, 0.033)  0.11
Se (0.039, 0.250, 0.333)  0.01
Se (0.613, 0.250, 0.354)  0.10
Se (0.387, 0.750, 0.646)  0.10
Se (0.961, 0.750, 0.667)  0.01
Se (0.307, 0.250, 0.967)  0.11

The following is a GGA-PBE calculation of crystalline BeCo2Sb at its relaxed geometry, from OQMD.

energy relative to the lowest polymorph listed for this composition: 0.000 eV/atom
symmetry: F-43m (216)
magnetization: 1.47 μB/cell

Unit cell a=4.129 b=4.129 c=4.129 alpha=60.00 beta=60.00 gamma=60.00
Site moments in Bohr magnetons follow the coordinates.
Fractional coordinates of all 4 atoms:
Be (0.250, 0.250, 0.250)  -0.02
Co (0.000, 0.000, 0.000)  0.88
Co (0.750, 0.750, 0.750)  0.64
Sb (0.500, 0.500, 0.500)  0.00